# CsZrWO6 (GGA+U, optimized geometry)
data_CsZrWO6
_chemical_formula_sum 'Cs2 Zr2 W2 O12'
_space_group_name_H-M_alt 'C 1 2 1'
_space_group_IT_number 5
_space_group_name_Hall 'C 2y'
_cell_length_a 5.591
_cell_length_b 9.898
_cell_length_c 6.443
_cell_angle_alpha 90.00
_cell_angle_beta 90.38
_cell_angle_gamma 90.00
loop_
_atom_site_label
_atom_site_type_symbol
_atom_site_fract_x
_atom_site_fract_y
_atom_site_fract_z
Cs1 Cs 0.000 0.000 0.000
Zr1 Zr 0.000 0.680 0.500
W1 W 0.000 0.322 0.500
O1 O 0.098 0.491 0.647
O2 O 0.190 0.214 0.683
O3 O 0.223 0.798 0.680
# - total DFT energy (no corrections) (eV/atom) = -7.388
# - volume (A^3/atom) = 19.80